(1)
## Mn2IrF2 (PBE+U)

Data for crystalline Mn2IrF2 at its relaxed geometry.

Unit cell a=3.323 b=3.323 c=12.165 alpha=90.00 beta=90.00 gamma=90.00
Atoms (fractional coordinates):
Mn (0.000, 0.000, 0.133)
Mn (0.000, 0.000, 0.867)
Mn (0.500, 0.500, 0.367)
Mn (0.500, 0.500, 0.633)
Ir (0.000, 0.000, 0.500)
Ir (0.500, 0.500, 0.000)
F (0.000, 0.500, 0.250)
F (0.000, 0.500, 0.750)
F (0.500, 0.000, 0.250)
F (0.500, 0.000, 0.750)

## Properties
The magnetic moment comes out at 9.065 μB per formula unit. Its total energy is -66.324 eV for the cell shown. Its space-group type is No. 139. The calculation puts the volume at 13.437 Å³ per atom. As for the relative energy among the computed polymorphs: 0.00 eV per formula unit.


(2)
## Mn2IrF2 (PBE+U)

Data for crystalline Mn2IrF2 at its relaxed geometry.

Unit cell a=7.609 b=7.609 c=2.783 alpha=90.00 beta=90.00 gamma=90.00
Atoms (fractional coordinates):
Mn (0.244, 0.256, 0.000)
Mn (0.256, 0.756, 0.000)
Mn (0.744, 0.244, 0.000)
Mn (0.756, 0.744, 0.000)
Ir (0.000, 0.000, 0.000)
Ir (0.500, 0.500, 0.000)
F (0.117, 0.617, 0.500)
F (0.383, 0.117, 0.500)
F (0.617, 0.883, 0.500)
F (0.883, 0.383, 0.500)

## Properties
The magnetic moment comes out at 9.849 μB per formula unit. Its total energy is -62.341 eV for the cell shown. Its space-group type is No. 127. The calculation puts the volume at 16.112 Å³ per atom. As for the relative energy among the computed polymorphs: 1.99 eV per formula unit.


(3)
## MnIrF3 (PBE+U)

Data for crystalline MnIrF3 at its relaxed geometry.

Unit cell a=4.301 b=4.301 c=4.301 alpha=90.00 beta=90.00 gamma=90.00
Atoms (fractional coordinates):
Mn (0.000, 0.000, 0.000)
Ir (0.500, 0.500, 0.500)
F (0.000, 0.500, 0.500)
F (0.500, 0.000, 0.500)
F (0.500, 0.500, 0.000)

## Properties
The magnetic moment comes out at 5.185 μB per formula unit. Its total energy is -24.928 eV for the cell shown. Its space-group type is No. 221. The calculation puts the volume at 15.918 Å³ per atom.


Look up the magnetic moment of the third one. 5.185 μB per formula unit


Number 2 is which compound? Mn2IrF2


Repeat the second record exactly.
## Mn2IrF2 (PBE+U)

Data for crystalline Mn2IrF2 at its relaxed geometry.

Unit cell a=7.609 b=7.609 c=2.783 alpha=90.00 beta=90.00 gamma=90.00
Atoms (fractional coordinates):
Mn (0.244, 0.256, 0.000)
Mn (0.256, 0.756, 0.000)
Mn (0.744, 0.244, 0.000)
Mn (0.756, 0.744, 0.000)
Ir (0.000, 0.000, 0.000)
Ir (0.500, 0.500, 0.000)
F (0.117, 0.617, 0.500)
F (0.383, 0.117, 0.500)
F (0.617, 0.883, 0.500)
F (0.883, 0.383, 0.500)

## Properties
The magnetic moment comes out at 9.849 μB per formula unit. Its total energy is -62.341 eV for the cell shown. Its space-group type is No. 127. The calculation puts the volume at 16.112 Å³ per atom. As for the relative energy among the computed polymorphs: 1.99 eV per formula unit.